[1]
A relaxed structure of DyPuAl2. Source: Alexandria via LeMat-Bulk, functional GGA-PBE.

```
DyPuAl2
1.0
3.1929 0.0000 0.0000
0.0000 3.1929 0.0000
0.0000 0.0000 8.8387
Dy Pu Al
1 1 2
Cartesian
0.0000 0.0000 0.0000
0.0000 0.0000 4.4194
1.5965 1.5965 2.2076
1.5965 1.5965 6.6311
```

Energy of formation   -248.5 meV per atom
Volume   90.11 Å³/f.u.

[2]
A relaxed structure of DyPuAl2. Source: Alexandria via LeMat-Bulk, functional GGA-PBE.

```
DyPuAl2
1.0
5.1020 0.0000 0.0000
0.0000 5.1020 0.0000
0.0000 0.0000 3.5621
Dy Pu Al
1 1 2
Cartesian
0.0000 0.0000 0.0000
2.5510 2.5510 0.0000
0.0000 2.5510 1.7811
2.5510 0.0000 1.7811
```

Energy of formation   -223.0 meV per atom
Volume   92.72 Å³/f.u.

[3]
A relaxed structure of DyPu2Al. Source: Alexandria via LeMat-Bulk, functional GGA-PBE.

```
DyPu2Al
1.0
4.4515 0.0000 0.0000
0.0000 4.4515 0.0000
0.0000 0.0000 4.9834
Dy Pu Al
1 2 1
Cartesian
0.0000 0.0000 0.0000
0.0000 2.2257 2.4917
2.2257 0.0000 2.4917
2.2257 2.2257 0.0000
```

Energy of formation   -81.3 meV per atom
Energy relative to the lowest polymorph listed for this composition   0 meV per atom
Volume   98.75 Å³/f.u.

[4]
A relaxed structure of DyPu3Al8. Source: Alexandria via LeMat-Bulk, functional GGA-PBE.

```
DyPu3Al8
1.0
5.5814 0.0000 0.0000
-2.7907 4.8336 0.0000
0.0000 0.0000 8.8834
Dy Pu Al
1 3 8
Cartesian
0.0000 0.0000 0.0000
0.0000 0.0000 3.2652
2.7907 1.6112 4.4557
2.7907 1.6112 7.5204
0.0000 1.5605 6.0469
-1.4392 4.0533 6.0469
0.0000 3.2224 3.7843
0.0000 3.2224 8.2338
2.7907 0.0555 1.5685
1.4434 2.3890 1.5685
1.4392 4.0533 6.0469
4.1379 2.3890 1.5685
```

Energy of formation   -365.9 meV per atom
Volume   239.66 Å³/f.u.

[5]
A relaxed structure of Dy2PuAl6. Source: Alexandria via LeMat-Bulk, functional GGA-PBE.

```
Dy2PuAl6
1.0
7.9378 0.0000 0.0000
-3.9689 6.8744 0.0000
0.0000 0.0000 3.4464
Dy Pu Al
2 1 6
Cartesian
0.0000 4.5829 0.0000
3.9689 2.2915 0.0000
0.0000 0.0000 0.0000
-1.3225 2.2906 1.7232
-2.6464 4.5837 1.7232
2.6450 0.0000 1.7232
1.3225 2.2906 1.7232
5.2929 0.0000 1.7232
2.6464 4.5837 1.7232
```

Energy of formation   -420.1 meV per atom
Volume   188.06 Å³/f.u.

[6]
A relaxed structure of Dy2PuAl. Source: Alexandria via LeMat-Bulk, functional GGA-PBE.

```
Dy2PuAl
1.0
3.4637 0.0000 0.0000
0.0000 3.4637 0.0000
0.0000 0.0000 8.8099
Dy Pu Al
2 1 1
Cartesian
0.0000 0.0000 1.9283
0.0000 0.0000 6.8817
1.7318 1.7318 4.4050
1.7318 1.7318 0.0000
```

Energy of formation   -109.5 meV per atom
Energy relative to the lowest polymorph listed for this composition   0 meV per atom
Volume   105.69 Å³/f.u.

Number 1: spin magnetization 5.34 μB per formula unit. Number 2: spin magnetization 5.40 μB per formula unit. Number 3: spin magnetization 11.73 μB per formula unit. Number 4: spin magnetization 16.81 μB per formula unit. Number 5: spin magnetization 5.48 μB per formula unit. Number 6: spin magnetization 6.18 μB per formula unit.